(1)
RbTmI3: relaxed, PBEsol.

Output
Formation energy without anion corrections in eV per atom: -1.273

Cell: 4.1720 10.0354 17.4679 Å, 90.00 90.00 90.00°
Closest atoms and distances in Å follow each position.
Element x y z (fractional)
I 0.7500 0.3295 0.5006  2 Tm 3.05
I 0.2500 0.5543 0.8763  3 Tm 3.03-3.07
I 0.7500 0.9457 0.3763  3 Tm 3.03-3.07
I 0.2500 0.0543 0.6237  3 Tm 3.03-3.07
I 0.2500 0.7661 0.1987  1 Tm 3.05
I 0.7500 0.7339 0.6987  1 Tm 3.05
I 0.2500 0.2661 0.3013  1 Tm 3.05
I 0.7500 0.8295 0.9994  2 Tm 3.05
I 0.2500 0.1705 0.0006  2 Tm 3.05
I 0.7500 0.2339 0.8013  1 Tm 3.05
I 0.2500 0.6705 0.4994  2 Tm 3.05
I 0.7500 0.4457 0.1237  3 Tm 3.03-3.07
Tm 0.7500 0.8772 0.5450  6 I 3.03-3.07
Tm 0.2500 0.1228 0.4550  6 I 3.03-3.07
Tm 0.2500 0.6228 0.0450  6 I 3.03-3.07
Tm 0.7500 0.3772 0.9550  6 I 3.03-3.07
Rb 0.2500 0.4353 0.6707  9 I 3.68-3.91
Rb 0.2500 0.9353 0.8293  9 I 3.68-3.91
Rb 0.7500 0.5647 0.3293  9 I 3.68-3.91
Rb 0.7500 0.0647 0.1707  9 I 3.68-3.91

(2)
Rb3YI6: relaxed, PBEsol.

Output
Formation energy without anion corrections in eV per atom: -1.377

Cell: 8.9757 8.9757 8.9757 Å, 60.00 60.00 60.00°
Closest atoms and distances in Å follow each position.
Element x y z (fractional)
I 0.2341 0.2341 0.7659  1 Y 2.97
I 0.7659 0.2341 0.2341  1 Y 2.97
I 0.2341 0.7659 0.2341  1 Y 2.97
I 0.7659 0.2341 0.7659  1 Y 2.97
I 0.2341 0.7659 0.7659  1 Y 2.97
I 0.7659 0.7659 0.2341  1 Y 2.97
Rb 0.2500 0.2500 0.2500  12 I 4.49
Rb 0.7500 0.7500 0.7500  12 I 4.49
Rb 0.5000 0.5000 0.5000  6 I 3.38
Y 0.0000 0.0000 0.0000  6 I 2.97

(3)
RbY2I: relaxed, PBEsol.

Output
Formation energy without anion corrections in eV per atom: 0.368

Cell: 5.5927 5.5927 5.5927 Å, 60.00 60.00 60.00°
Closest atoms and distances in Å follow each position.
Element x y z (fractional)
Y 0.2500 0.2500 0.2500  4 Rb 3.42, 4 I 3.42
Y 0.7500 0.7500 0.7500  4 Rb 3.42, 4 I 3.42
I 0.5000 0.5000 0.5000  8 Y 3.42
Rb 0.0000 0.0000 0.0000  8 Y 3.42

(4)
RbYI2: relaxed, PBEsol.

Output
Formation energy without anion corrections in eV per atom: -0.699

Cell: 5.6530 5.6530 5.6530 Å, 60.00 60.00 60.00°
Closest atoms and distances in Å follow each position.
Element x y z (fractional)
I 0.7500 0.7500 0.7500  4 Rb 3.46, 4 Y 3.46
I 0.2500 0.2500 0.2500  4 Rb 3.46, 4 Y 3.46
Y 0.5000 0.5000 0.5000  8 I 3.46
Rb 0.0000 0.0000 0.0000  8 I 3.46

What is the formation energy without anion corrections in the first record? -1.273 eV per atom

Which formula does entry 3 have? RbY2I

Copy entry 4 word for word.
RbYI2: relaxed, PBEsol.

Output
Formation energy without anion corrections in eV per atom: -0.699

Cell: 5.6530 5.6530 5.6530 Å, 60.00 60.00 60.00°
Closest atoms and distances in Å follow each position.
Element x y z (fractional)
I 0.7500 0.7500 0.7500  4 Rb 3.46, 4 Y 3.46
I 0.2500 0.2500 0.2500  4 Rb 3.46, 4 Y 3.46
Y 0.5000 0.5000 0.5000  8 I 3.46
Rb 0.0000 0.0000 0.0000  8 I 3.46